# 1
Compound: LuMgNO
Source: OQMD
Functional: GGA-PBE
Structure: optimized geometry

abc: 3.502 5.990 5.512
angles: 90.00 90.00 90.00
Fractional positions:
Lu: 0.000 0.175 0.000
Lu: 0.000 0.825 0.500
Mg: 0.500 0.345 0.500
Mg: 0.500 0.655 0.000
N: 0.500 0.335 0.870
N: 0.500 0.665 0.370
O: 0.000 0.172 0.392
O: 0.000 0.828 0.892

---

# 2
Compound: LuMgNO
Source: OQMD
Functional: GGA-PBE
Structure: optimized geometry

abc: 4.596 4.596 4.440
angles: 90.00 90.00 90.00
Fractional positions:
Lu: 0.250 0.750 0.000
Lu: 0.750 0.250 0.000
Mg: 0.250 0.250 0.500
Mg: 0.750 0.750 0.500
N: 0.250 0.250 0.002
N: 0.750 0.750 0.998
O: 0.250 0.750 0.500
O: 0.750 0.250 0.500

---

# 3
Compound: NaLuMg
Source: OQMD
Functional: GGA-PBE
Structure: optimized geometry

abc: 7.371 7.371 7.371
angles: 90.00 90.00 90.00
Fractional positions:
Na: 0.000 0.000 0.000
Na: 0.000 0.500 0.500
Na: 0.500 0.000 0.500
Na: 0.500 0.500 0.000
Lu: 0.000 0.000 0.500
Lu: 0.000 0.500 0.000
Lu: 0.500 0.000 0.000
Lu: 0.500 0.500 0.500
Mg: 0.250 0.250 0.750
Mg: 0.250 0.750 0.250
Mg: 0.750 0.250 0.250
Mg: 0.750 0.750 0.750

---

| no. | excess energy over the best structure of this formula in the dataset (meV per atom) |
| --- | --- |
| 1 | 145 |
| 2 | 0 |
| 3 | 0 |